(1)
# La3ScTl4Se8

A geometry-optimized La3ScTl4Se8 structure (PBE, Alexandria via LeMat-Bulk).

ΔE_f (raw)   -1.388 eV per atom
Space-group type   R-3m (166)
Calculated total energy   -80.66 eV per cell

Cell lengths 9.180, 9.180, 9.180 Å; angles 56.12, 56.12, 56.12 degrees
Positions (direct):
La  0.000  0.500  0.500
La  0.500  0.000  0.500
La  0.500  0.500  0.000
Sc  0.000  0.000  0.000
Tl  0.000  0.000  0.500
Tl  0.000  0.500  0.000
Tl  0.500  0.000  0.000
Tl  0.500  0.500  0.500
Se  0.224  0.224  0.756
Se  0.224  0.756  0.224
Se  0.244  0.776  0.776
Se  0.262  0.262  0.262
Se  0.738  0.738  0.738
Se  0.756  0.224  0.224
Se  0.776  0.244  0.776
Se  0.776  0.776  0.244

(2)
# K4Dy3NpTe8

A geometry-optimized K4Dy3NpTe8 structure (PBE, Alexandria via LeMat-Bulk).

ΔE_f (raw)   -1.263 eV per atom
Space-group type   R-3m (166)
Calculated total energy   -76.49 eV per cell

Cell lengths 9.742, 9.742, 9.742 Å; angles 55.31, 55.31, 55.31 degrees
Positions (direct):
K  0.000  0.000  0.000
K  0.000  0.500  0.500
K  0.500  0.000  0.500
K  0.500  0.500  0.000
Dy  0.000  0.000  0.500
Dy  0.000  0.500  0.000
Dy  0.500  0.000  0.000
Np  0.500  0.500  0.500
Te  0.232  0.738  0.738
Te  0.236  0.236  0.236
Te  0.262  0.262  0.768
Te  0.262  0.768  0.262
Te  0.738  0.232  0.738
Te  0.738  0.738  0.232
Te  0.764  0.764  0.764
Te  0.768  0.262  0.262

(3)
# Ac2Ni2Sn3

A geometry-optimized Ac2Ni2Sn3 structure (PBE, Alexandria via LeMat-Bulk).

ΔH_f (0 K)   -3.29 eV per formula unit
Space-group type   Cmcm (63)
Calculated total energy   -70.15 eV per cell

Cell lengths 10.392, 10.392, 7.382 Å; angles 90.00, 90.00, 153.42 degrees
Positions (direct):
Ac  0.044  0.956  0.750
Ac  0.167  0.833  0.250
Ac  0.833  0.167  0.750
Ac  0.956  0.044  0.250
Ni  0.297  0.703  0.057
Ni  0.297  0.703  0.443
Ni  0.703  0.297  0.557
Ni  0.703  0.297  0.943
Sn  0.217  0.783  0.750
Sn  0.427  0.573  0.552
Sn  0.427  0.573  0.948
Sn  0.573  0.427  0.052
Sn  0.573  0.427  0.448
Sn  0.783  0.217  0.250

(4)
# La8Tb2Ho3

A geometry-optimized La8Tb2Ho3 structure (PBE, Alexandria via LeMat-Bulk).

ΔH_f (0 K)   1.84 eV per formula unit
Space-group type   C2/m (12)
Calculated total energy   -60.57 eV per cell

Cell lengths 9.033, 9.033, 6.162 Å; angles 107.14, 107.14, 81.84 degrees
Positions (direct):
La  0.085  0.085  0.238
La  0.101  0.577  0.851
La  0.362  0.362  0.386
La  0.423  0.899  0.149
La  0.577  0.101  0.851
La  0.638  0.638  0.614
La  0.899  0.423  0.149
La  0.915  0.915  0.762
Tb  0.186  0.186  0.821
Tb  0.814  0.814  0.179
Ho  0.228  0.772  0.500
Ho  0.500  0.500  0.000
Ho  0.772  0.228  0.500

(5)
# PrSmInRu

A geometry-optimized PrSmInRu structure (PBE, Alexandria via LeMat-Bulk).

ΔH_f (0 K)   -1.25 eV per formula unit
Space-group type   P4mm (99)
Calculated total energy   -22.77 eV per cell

Cell lengths 3.454, 3.454, 8.638 Å; angles 90.00, 90.00, 90.00 degrees
Positions (direct):
Pr  0.000  0.000  0.000
Sm  0.000  0.000  0.594
In  0.500  0.500  0.302
Ru  0.500  0.500  0.791

(6)
# Pr4Y2Th

A geometry-optimized Pr4Y2Th structure (PBE, Alexandria via LeMat-Bulk).

ΔH_f (0 K)   3.56 eV per formula unit
Space-group type   Cmmm (65)
Calculated total energy   -35.90 eV per cell

Cell lengths 7.186, 7.186, 6.113 Å; angles 90.00, 90.00, 127.88 degrees
Positions (direct):
Pr  0.130  0.870  0.000
Pr  0.301  0.699  0.500
Pr  0.699  0.301  0.500
Pr  0.870  0.130  0.000
Y  0.383  0.617  0.000
Y  0.617  0.383  0.000
Th  0.000  0.000  0.500

(7)
# Be3TlSi

A geometry-optimized Be3TlSi structure (PBE, Alexandria via LeMat-Bulk).

ΔE_f (raw)   0.829 eV per atom
Space-group type   Pm-3m (221)
Calculated total energy   -14.82 eV per cell

Cell lengths 4.362, 4.362, 4.362 Å; angles 90.00, 90.00, 90.00 degrees
Positions (direct):
Be  0.000  0.000  0.500
Be  0.000  0.500  0.000
Be  0.500  0.000  0.000
Tl  0.500  0.500  0.500
Si  0.000  0.000  0.000

(8)
# KTaV2As

A geometry-optimized KTaV2As structure (PBE, Alexandria via LeMat-Bulk).

ΔH_f (0 K)   6.08 eV per formula unit
Space-group type   P4/mmm (123)
Calculated total energy   -29.75 eV per cell

Cell lengths 4.724, 4.724, 4.947 Å; angles 90.00, 90.00, 90.00 degrees
Positions (direct):
K  0.000  0.000  0.000
Ta  0.500  0.500  0.000
V  0.000  0.500  0.500
V  0.500  0.000  0.500
As  0.500  0.500  0.500

(9)
# Al2Os2S

A geometry-optimized Al2Os2S structure (PBE, Alexandria via LeMat-Bulk).

ΔE_f (raw)   0.166 eV per atom
Space-group type   P4/mbm (127)
Calculated total energy   -66.49 eV per cell

Cell lengths 6.972, 6.972, 3.086 Å; angles 90.00, 90.00, 90.00 degrees
Positions (direct):
Al  0.135  0.365  0.000
Al  0.365  0.865  0.000
Al  0.635  0.135  0.000
Al  0.865  0.635  0.000
Os  0.164  0.664  0.500
Os  0.336  0.164  0.500
Os  0.664  0.836  0.500
Os  0.836  0.336  0.500
S  0.000  0.000  0.500
S  0.500  0.500  0.500

(10)
# TaTlZn2

A geometry-optimized TaTlZn2 structure (PBE, Alexandria via LeMat-Bulk).

ΔH_f (0 K)   0.83 eV per formula unit
Space-group type   Cmmm (65)
Calculated total energy   -15.94 eV per cell

Cell lengths 2.924, 2.924, 9.290 Å; angles 90.00, 90.00, 90.15 degrees
Positions (direct):
Ta  0.000  0.000  0.000
Tl  0.000  0.000  0.500
Zn  0.500  0.500  0.206
Zn  0.500  0.500  0.794

(11)
# Mg2TlPb

A geometry-optimized Mg2TlPb structure (PBE, Alexandria via LeMat-Bulk).

ΔH_f (0 K)   -0.13 eV per formula unit
Space-group type   R3m (160)
Calculated total energy   -9.39 eV per cell

Cell lengths 9.906, 9.906, 9.906 Å; angles 20.53, 20.53, 20.53 degrees
Positions (direct):
Mg  0.000  0.000  0.000
Mg  0.170  0.170  0.170
Tl  0.584  0.584  0.584
Pb  0.419  0.419  0.419

(12)
# MnCrC2

A geometry-optimized MnCrC2 structure (PBE, Alexandria via LeMat-Bulk).

ΔH_f (0 K)   2.90 eV per formula unit
Space-group type   Fm-3m (225)
Calculated total energy   -34.34 eV per cell

Cell lengths 3.549, 3.549, 3.549 Å; angles 60.00, 60.00, 60.00 degrees
Positions (direct):
Mn  0.000  0.000  0.000
Cr  0.500  0.500  0.500
C  0.250  0.250  0.250
C  0.750  0.750  0.750

(13)
# LaCd2Br

A geometry-optimized LaCd2Br structure (PBE, Alexandria via LeMat-Bulk).

ΔE_f (raw)   -0.612 eV per atom
Space-group type   P4mm (99)
Calculated total energy   -10.88 eV per cell

Cell lengths 3.698, 3.698, 8.799 Å; angles 90.00, 90.00, 90.00 degrees
Positions (direct):
La  0.000  0.000  0.000
Cd  0.000  0.000  0.574
Cd  0.500  0.500  0.745
Br  0.500  0.500  0.200

(14)
# CoTc2Rh

A geometry-optimized CoTc2Rh structure (PBE, Alexandria via LeMat-Bulk).

ΔH_f (0 K)   0.03 eV per formula unit
Space-group type   P4/mmm (123)
Calculated total energy   -35.16 eV per cell

Cell lengths 2.656, 2.656, 7.588 Å; angles 90.00, 90.00, 90.00 degrees
Positions (direct):
Co  0.000  0.000  0.000
Tc  0.500  0.500  0.237
Tc  0.500  0.500  0.763
Rh  0.000  0.000  0.500

(15)
# CrCd2Ag

A geometry-optimized CrCd2Ag structure (PBE, Alexandria via LeMat-Bulk).

ΔH_f (0 K)   1.17 eV per formula unit
Space-group type   R-3m (166)
Calculated total energy   -13.13 eV per cell

Cell lengths 9.712, 9.712, 9.712 Å; angles 18.11, 18.11, 18.11 degrees
Positions (direct):
Cr  0.000  0.000  0.000
Cd  0.251  0.251  0.251
Cd  0.749  0.749  0.749
Ag  0.500  0.500  0.500

(16)
# MnNiHgAu

A geometry-optimized MnNiHgAu structure (PBE, Alexandria via LeMat-Bulk).

ΔH_f (0 K)   0.50 eV per formula unit
Space-group type   F-43m (216)
Calculated total energy   -18.03 eV per cell

Cell lengths 4.496, 4.496, 4.496 Å; angles 60.00, 60.00, 60.00 degrees
Positions (direct):
Mn  0.000  0.000  0.000
Ni  0.500  0.500  0.500
Hg  0.750  0.750  0.750
Au  0.250  0.250  0.250

(17)
# Er3Tl2Pb

A geometry-optimized Er3Tl2Pb structure (PBE, Alexandria via LeMat-Bulk).

ΔH_f (0 K)   -1.98 eV per formula unit
Space-group type   P4/mmm (123)
Calculated total energy   -24.11 eV per cell

Cell lengths 3.547, 3.547, 12.885 Å; angles 90.00, 90.00, 90.00 degrees
Positions (direct):
Er  0.000  0.000  0.000
Er  0.000  0.000  0.329
Er  0.000  0.000  0.671
Tl  0.500  0.500  0.165
Tl  0.500  0.500  0.835
Pb  0.500  0.500  0.500

(18)
# GeAsSN2

A geometry-optimized GeAsSN2 structure (PBE, Alexandria via LeMat-Bulk).

ΔE_f (raw)   1.204 eV per atom
Space-group type   P4/mmm (123)
Calculated total energy   -24.02 eV per cell

Cell lengths 3.764, 3.764, 4.973 Å; angles 90.00, 90.00, 90.00 degrees
Positions (direct):
Ge  0.000  0.000  0.000
As  0.500  0.500  0.500
S  0.000  0.000  0.500
N  0.000  0.500  0.000
N  0.500  0.000  0.000

(19)
# PrNd2Y9

A geometry-optimized PrNd2Y9 structure (PBE, Alexandria via LeMat-Bulk).

ΔH_f (0 K)   0.26 eV per formula unit
Space-group type   P4/mmm (123)
Calculated total energy   -72.23 eV per cell

Cell lengths 5.093, 5.093, 15.278 Å; angles 90.00, 90.00, 90.00 degrees
Positions (direct):
Pr  0.000  0.000  0.000
Nd  0.000  0.000  0.333
Nd  0.000  0.000  0.667
Y  0.000  0.500  0.167
Y  0.000  0.500  0.500
Y  0.000  0.500  0.833
Y  0.500  0.000  0.167
Y  0.500  0.000  0.500
Y  0.500  0.000  0.833
Y  0.500  0.500  0.000
Y  0.500  0.500  0.334
Y  0.500  0.500  0.666

(20)
# KSr3Ir

A geometry-optimized KSr3Ir structure (PBE, Alexandria via LeMat-Bulk).

ΔH_f (0 K)   0.09 eV per formula unit
Space-group type   P2_1/c (14)
Calculated total energy   -59.66 eV per cell

Cell lengths 10.321, 7.756, 12.433 Å; angles 90.00, 122.27, 90.00 degrees
Positions (direct):
K  0.171  0.153  0.068
K  0.171  0.347  0.568
K  0.829  0.653  0.432
K  0.829  0.847  0.932
Sr  0.044  0.570  0.807
Sr  0.044  0.930  0.307
Sr  0.300  0.686  0.185
Sr  0.300  0.814  0.685
Sr  0.430  0.221  0.944
Sr  0.430  0.279  0.444
Sr  0.570  0.721  0.556
Sr  0.570  0.779  0.056
Sr  0.700  0.186  0.315
Sr  0.700  0.314  0.815
Sr  0.956  0.070  0.693
Sr  0.956  0.430  0.193
Ir  0.243  0.616  0.399
Ir  0.243  0.884  0.899
Ir  0.757  0.116  0.101
Ir  0.757  0.384  0.601